No. 1
LiH3 | the Alexandria database | PBE | relaxed; crystal system = tetragonal; size of the total moment = 0.0 μB per cell
1.0
2.996 0.000 0.000
0.000 2.996 0.000
-1.498 -1.498 3.066
H Li
3 1
direct
0.500 0.500 0.000
0.330 0.330 0.661
0.670 0.670 0.339
0.000 0.000 0.000

No. 2
CsCu6Te2S2 | the Alexandria database | PBE | relaxed; crystal system = monoclinic; size of the total moment = 0.0 μB per cell
1.0
-2.007 0.253 -3.505
4.036 -1.690 -2.428
-1.019 -12.077 2.052
Cs Cu Te S
1 6 2 2
direct
0.500 0.000 0.500
0.840 0.385 0.179
0.622 0.384 0.745
0.263 0.656 0.028
0.378 0.616 0.255
0.737 0.344 0.972
0.160 0.615 0.821
0.691 0.881 0.882
0.309 0.119 0.118
0.081 0.446 0.663
0.919 0.554 0.337

No. 3
AgPtPb2 | the Alexandria database | PBE | relaxed; crystal system = tetragonal; offset from the most stable computed form = 0.12 eV per formula unit; DFT formation energy = -6 meV per atom; size of the total moment = 0.0 μB per cell
1.0
3.425 0.000 0.000
0.000 3.426 0.000
0.000 0.000 8.089
Pb Ag Pt
2 1 1
direct
0.000 0.000 0.945
0.500 0.500 0.318
0.500 0.500 0.713
0.000 0.000 0.523

No. 4
NaPrNd2S4 | the Alexandria database | PBE | relaxed; crystal system = monoclinic; size of the total moment = 0.0 μB per cell
1.0
-1.665 1.998 3.131
-6.448 -1.251 -2.631
1.815 -5.292 4.342
Na Pr Nd S
1 1 2 4
direct
0.500 0.500 0.000
0.000 0.000 0.000
0.500 0.000 0.500
0.000 0.500 0.500
0.500 0.253 0.251
0.500 0.747 0.749
0.000 0.248 0.746
0.000 0.752 0.254

No. 5
KSrTa | the Alexandria database | PBE | relaxed; crystal system = trigonal; offset from the most stable computed form = 2.25 eV per formula unit; DFT formation energy = 1150 meV per atom; size of the total moment = 0.0 μB per cell
1.0
3.371 0.000 0.000
-1.685 2.919 0.000
0.000 0.000 9.784
K Sr Ta
1 1 1
direct
0.000 0.000 0.969
0.667 0.333 0.380
0.333 0.667 0.651

No. 6
ErCu3P2 | the Alexandria database | PBE | relaxed; crystal system = monoclinic; DFT formation energy = -544 meV per atom; size of the total moment = 0.0 μB per cell
1.0
3.860 0.000 0.000
-1.930 6.668 -2.909
0.000 -0.472 7.156
Er Cu P
2 6 4
direct
0.854 0.709 0.947
0.146 0.291 0.053
0.314 0.628 0.571
0.947 0.894 0.609
0.600 0.201 0.674
0.400 0.799 0.326
0.053 0.106 0.391
0.686 0.372 0.429
0.487 0.975 0.820
0.513 0.025 0.180
0.797 0.594 0.281
0.203 0.406 0.719

No. 7
Cs4TlO4 | the Alexandria database | PBE | relaxed; crystal system = tetragonal; size of the total moment = 1.1 μB per cell
1.0
6.153 0.000 -3.538
-2.034 5.808 -3.537
0.428 0.604 7.866
Cs Tl O
4 1 4
direct
0.000 0.500 0.000
0.500 0.000 0.000
0.294 0.294 0.588
0.706 0.706 0.412
0.000 0.000 0.000
0.073 0.717 0.790
0.283 0.283 0.210
0.717 0.073 0.790
0.927 0.927 0.210

No. 8
Sm3Ho3Th | the Alexandria database | PBE | relaxed; crystal system = trigonal; offset from the most stable computed form = 1.44 eV per formula unit; DFT formation energy = 239 meV per atom; size of the total moment = 0.0 μB per cell
1.0
2.732 -6.778 4.976
3.965 -7.040 -3.591
8.601 -1.591 1.286
Sm Ho Th
6 6 2
direct
0.717 0.565 0.071
0.071 0.717 0.565
0.565 0.071 0.717
0.435 0.929 0.283
0.929 0.283 0.435
0.283 0.435 0.929
0.711 0.176 0.938
0.176 0.938 0.711
0.938 0.711 0.176
0.062 0.289 0.824
0.824 0.062 0.289
0.289 0.824 0.062
0.345 0.345 0.345
0.655 0.655 0.655

No. 9
Nb2GaMo | the Alexandria database | PBE | relaxed; crystal system = tetragonal; DFT formation energy = -183 meV per atom; size of the total moment = 0.0 μB per cell
1.0
-0.163 -0.919 3.220
2.427 -2.253 -0.520
4.143 4.141 1.392
Mo Nb Ga
1 2 1
direct
0.500 0.500 0.000
0.000 0.000 0.752
0.000 0.000 0.248
0.500 0.500 0.500

No. 10
Pu3TcN6 | the Alexandria database | PBE | relaxed; crystal system = orthorhombic; size of the total moment = 26.0 μB per cell
1.0
5.451 0.000 0.000
0.000 7.258 -0.038
0.000 -1.657 7.066
Pu Tc N
6 2 12
direct
0.466 0.906 0.696
0.966 0.696 0.906
0.439 0.397 0.603
0.939 0.603 0.397
0.966 0.094 0.304
0.466 0.304 0.094
0.014 0.196 0.804
0.514 0.804 0.196
0.206 0.669 0.647
0.706 0.647 0.669
0.183 0.421 0.893
0.683 0.893 0.421
0.150 0.047 0.953
0.671 0.210 0.790
0.171 0.790 0.210
0.650 0.953 0.047
0.183 0.107 0.579
0.683 0.579 0.107
0.206 0.353 0.331
0.706 0.331 0.353

No. 11
CrRu2RhS | the Alexandria database | PBE | relaxed; crystal system = tetragonal; size of the total moment = 4.3 μB per cell
1.0
-2.816 -3.868 0.486
3.256 -2.162 1.664
-1.268 1.476 4.398
Ru S Rh Cr
2 1 1 1
direct
0.000 0.000 0.500
0.500 0.000 0.000
0.000 0.500 0.000
0.000 0.000 0.000
0.500 0.500 0.500

No. 12
GaBiF2 | the Alexandria database | PBE | relaxed; crystal system = tetragonal; offset from the most stable computed form = 1.04 eV per formula unit; size of the total moment = 0.0 μB per cell
1.0
-2.962 0.933 5.440
3.965 -3.935 2.834
3.268 1.946 5.052
Bi Ga F
2 2 4
direct
0.000 0.000 0.000
0.750 0.250 0.500
0.500 0.500 0.000
0.250 0.750 0.500
0.411 0.125 0.250
0.339 0.625 0.250
0.375 0.589 0.750
0.875 0.661 0.750

These records have total energy values of -2.8172; -3.8911; -4.0834; -5.9295; -3.7272; -5.1557; -3.7734; -4.8058; -8.6821; -11.2150; -6.0200; -3.8447 eV/atom, in the order they appear.